A plane-wave DFT calculation with PBE was carried out for Ce3Si2Pt7 after structural relaxation.

The structure in POSCAR format:
```
Ce3Si2Pt7
1.0
4.0792 0.0000 0.0000
0.0000 4.0792 0.0000
-2.0396 -2.0396 13.9112
Pt Ce Si
7 3 2
direct
0.9192 0.4192 0.8385
0.0000 0.0000 0.0000
0.5808 0.0808 0.1615
0.7864 0.7864 0.5728
0.4192 0.9192 0.8385
0.0808 0.5808 0.1615
0.2136 0.2136 0.4272
0.6764 0.6764 0.3528
0.3236 0.3236 0.6472
0.5000 0.5000 0.0000
0.1272 0.1272 0.2544
0.8728 0.8728 0.7456
```

## Properties
Formation energy from raw total energies in eV per atom: -0.994
Energy in eV/atom: -6.90